# 1
Density functional theory data (GGA-PBE) for crystalline PmDy2Th at its relaxed geometry.

Output
The value obtained for the formation energy is -0.71 kJ per mole of atoms. For the volume, the calculation gives 32.34 A^3/atom. The total magnetization comes out at 0.00 μB/atom. Its energy relative to the lowest polymorph listed for this composition is 0.0 meV/atom.

Cell lengths 3.6123, 6.2381, 12.0384 Å; angles 90.04, 107.52, 89.98 degrees
Fractional coordinates of all 8 atoms:
Pm: 0.5062 0.3025 0.8011
Pm: 0.0066 0.8024 0.8012
Dy: 0.2511 0.9688 0.5449
Dy: 0.2617 0.1361 0.0574
Dy: 0.7621 0.6361 0.0576
Dy: 0.7507 0.4688 0.5448
Th: 0.0062 0.3024 0.3011
Th: 0.5067 0.8025 0.3012



# 2
Density functional theory data (GGA-PBE) for crystalline Pm3Pr2YBi6 at its relaxed geometry.

Output
The value obtained for the formation energy is -90.39 kJ per mole of atoms. For the volume, the calculation gives 34.09 A^3/atom. The total magnetization comes out at 0.00 μB/atom.

Cell lengths 4.5875, 9.1694, 10.2503 Å; angles 102.92, 102.93, 90.00 degrees
Fractional coordinates of all 12 atoms:
Pm: 0.5000 0.5000 0.0000
Pm: 0.8321 0.1662 0.6641
Pm: 0.1679 0.8338 0.3359
Pr: 0.8342 0.6677 0.6684
Pr: 0.1658 0.3323 0.3316
Y: 0.5000 0.0000 0.0000
Bi: 0.3353 0.9207 0.6707
Bi: 0.6660 0.5853 0.3320
Bi: 0.6647 0.0793 0.3293
Bi: 0.9983 0.2450 0.9966
Bi: 0.0017 0.7550 0.0034
Bi: 0.3340 0.4147 0.6680